No. 1
Computed, not measured: an optimized crystal structure of RePtPb2 at the PBE level of DFT.

## Properties
Distance to the lowest polymorph of the same formula (meV per atom): 491
Energy of formation from the pure elements (meV/atom): 818.0

Cell and atoms, written as extended XYZ:
```
4
Lattice="1.7402 -2.6886 0.0000 1.7402 2.6886 0.0000 0.0000 0.0000 8.9172" Properties=species:S:1:pos:R:3 pbc="T T T"
Re 0.0000 0.0000 0.0000
Pt 0.0000 0.0000 4.4586
Pb 1.7402 0.0000 2.2181
Pb 1.7402 0.0000 6.6991
```


No. 2
Computed, not measured: an optimized crystal structure of RePtPb at the PBE level of DFT.

## Properties
Distance to the lowest polymorph of the same formula (meV per atom): 201
Energy of formation from the pure elements (meV/atom): 742.3

Cell and atoms, written as extended XYZ:
```
3
Lattice="4.4088 0.0000 0.0000 -2.2044 3.8181 0.0000 0.0000 0.0000 3.5511" Properties=species:S:1:pos:R:3 pbc="T T T"
Re 0.0000 0.0000 0.0000
Pt 0.0000 2.5454 0.0000
Pb 2.2044 1.2727 1.7755
```


No. 3
Computed, not measured: an optimized crystal structure of RePtPb at the PBE level of DFT.

## Properties
Distance to the lowest polymorph of the same formula (meV per atom): 66
Energy of formation from the pure elements (meV/atom): 607.4

Cell and atoms, written as extended XYZ:
```
3
Lattice="-1.4274 1.9437 5.6360 1.4274 -1.9437 5.6360 1.4274 1.9437 -5.6360" Properties=species:S:1:pos:R:3 pbc="T T T"
Re 0.0000 0.0000 0.0000
Pt 0.0000 0.0000 4.6312
Pb 0.0000 0.0000 7.8955
```


No. 4
Computed, not measured: an optimized crystal structure of Re2PtPb at the PBE level of DFT.

## Properties
Energy of formation from the pure elements (meV/atom): 697.3

Cell and atoms, written as extended XYZ:
```
4
Lattice="3.2172 0.0000 0.0000 0.0000 4.9593 0.0000 -0.3000 0.0000 4.6466" Properties=species:S:1:pos:R:3 pbc="T T T"
Re 0.5434 0.0000 1.3583
Re 2.3739 0.0000 3.2883
Pt 1.4586 2.4797 2.3233
Pb 0.0000 2.4797 0.0000
```


No. 5
Computed, not measured: an optimized crystal structure of RePtPb2 at the PBE level of DFT.

## Properties
Distance to the lowest polymorph of the same formula (meV per atom): 0
Energy of formation from the pure elements (meV/atom): 327.4

Cell and atoms, written as extended XYZ:
```
4
Lattice="3.0839 0.0000 0.0000 0.0000 3.0848 0.0000 -0.0284 0.0000 9.6127" Properties=species:S:1:pos:R:3 pbc="T T T"
Re 0.0000 0.0000 0.0000
Pt 1.5136 1.5424 8.0828
Pb 1.5443 1.5424 2.2369
Pb 3.0529 0.0000 5.8115
```


No. 6
Computed, not measured: an optimized crystal structure of Re2PtPb at the PBE level of DFT.

## Properties
Energy of formation from the pure elements (meV/atom): 569.5

Cell and atoms, written as extended XYZ:
```
4
Lattice="4.6098 -1.6412 0.0000 4.6098 1.6412 0.0000 -0.7956 0.0000 4.9280" Properties=species:S:1:pos:R:3 pbc="T T T"
Re 2.0231 0.0000 0.8804
Re 6.4009 0.0000 4.0476
Pt 4.6098 0.0000 0.0000
Pb -0.3978 0.0000 2.4640
```


No. 7
Computed, not measured: an optimized crystal structure of Re2PtPb at the PBE level of DFT.

## Properties
Energy of formation from the pure elements (meV/atom): 830.3

Cell and atoms, written as extended XYZ:
```
4
Lattice="2.7183 -4.2645 0.0000 2.7183 4.2645 0.0000 0.0000 0.0000 2.9663" Properties=species:S:1:pos:R:3 pbc="T T T"
Re 1.3592 2.1322 0.0000
Re 1.3592 -2.1322 0.0000
Pt 0.0000 0.0000 1.4831
Pb 2.7183 0.0000 1.4831
```


No. 8
Computed, not measured: an optimized crystal structure of RePtPb2 at the PBE level of DFT.

## Properties
Distance to the lowest polymorph of the same formula (meV per atom): 656
Energy of formation from the pure elements (meV/atom): 983.8

Cell and atoms, written as extended XYZ:
```
8
Lattice="-3.8713 3.8713 3.0333 3.8713 -3.8713 3.0333 3.8713 3.8713 -3.0333" Properties=species:S:1:pos:R:3 pbc="T T T"
Re 0.0000 0.0000 0.0000
Re 0.0000 3.8713 1.5166
Pt 3.8713 0.0000 1.5166
Pt 0.0000 0.0000 3.0333
Pb 1.9357 -1.8587 2.2750
Pb 2.0126 1.9357 0.7583
Pb 1.9357 5.7300 -0.7583
Pb 1.8587 1.9357 3.7916
```


No. 9
Computed, not measured: an optimized crystal structure of Re2PtPb at the PBE level of DFT.

## Properties
Energy of formation from the pure elements (meV/atom): 826.1

Cell and atoms, written as extended XYZ:
```
4
Lattice="3.1933 0.0000 0.0000 0.0000 3.1933 0.0000 0.0000 0.0000 6.9541" Properties=species:S:1:pos:R:3 pbc="T T T"
Re 0.0000 0.0000 1.4427
Re 0.0000 0.0000 5.5114
Pt 1.5967 1.5967 0.0000
Pb 1.5967 1.5967 3.4771
```


No. 10
Computed, not measured: an optimized crystal structure of Re2PtPb at the PBE level of DFT.

## Properties
Energy of formation from the pure elements (meV/atom): 822.5

Cell and atoms, written as extended XYZ:
```
4
Lattice="2.7733 -5.1136 0.0000 2.7733 5.1136 0.0000 -1.4797 0.0000 2.4858" Properties=species:S:1:pos:R:3 pbc="T T T"
Re 1.3867 2.5568 0.0000
Re 1.3867 -2.5568 0.0000
Pt 0.0000 0.0000 0.0000
Pb 2.7733 0.0000 0.0000
```


No. 11
Computed, not measured: an optimized crystal structure of RePtPb2 at the PBE level of DFT.

## Properties
Distance to the lowest polymorph of the same formula (meV per atom): 547
Energy of formation from the pure elements (meV/atom): 874.4

Cell and atoms, written as extended XYZ:
```
4
Lattice="3.0444 0.0000 0.0000 0.0000 4.7120 0.0000 -0.2013 0.0000 5.7945" Properties=species:S:1:pos:R:3 pbc="T T T"
Re 0.0000 0.0000 0.0000
Pt 1.4215 0.0000 2.8972
Pb 0.6365 2.3560 4.3607
Pb 2.2065 2.3560 1.4338
```


No. 12
Computed, not measured: an optimized crystal structure of Re2PtPb at the PBE level of DFT.

## Properties
Energy of formation from the pure elements (meV/atom): 710.3

Cell and atoms, written as extended XYZ:
```
4
Lattice="2.8802 0.0000 0.0000 0.0000 4.1995 0.0000 0.0000 0.0000 6.1979" Properties=species:S:1:pos:R:3 pbc="T T T"
Re 0.0000 0.0000 1.1622
Re 0.0000 0.0000 5.0356
Pt 1.4401 2.0997 0.0000
Pb 1.4401 2.0997 3.0989
```


No. 13
Computed, not measured: an optimized crystal structure of RePtPb2 at the PBE level of DFT.

## Properties
Distance to the lowest polymorph of the same formula (meV per atom): 157
Energy of formation from the pure elements (meV/atom): 483.9

Cell and atoms, written as extended XYZ:
```
4
Lattice="1.5540 0.8972 10.8892 -1.5540 0.8972 10.8892 0.0000 -1.7944 10.8892" Properties=species:S:1:pos:R:3 pbc="T T T"
Re 0.0000 0.0000 0.0000
Pt 0.0000 0.0000 23.7355
Pb 0.0000 0.0000 8.4056
Pb 0.0000 0.0000 15.3585
```


No. 14
Computed, not measured: an optimized crystal structure of RePtPb2 at the PBE level of DFT.

## Properties
Distance to the lowest polymorph of the same formula (meV per atom): 301
Energy of formation from the pure elements (meV/atom): 628.4

Cell and atoms, written as extended XYZ:
```
4
Lattice="-1.5016 2.5687 5.6368 1.5016 -2.5687 5.6368 1.5016 2.5687 -5.6368" Properties=species:S:1:pos:R:3 pbc="T T T"
Re 0.0000 0.0000 0.0000
Pt 0.0000 2.5687 3.4599
Pb 1.5016 0.0000 2.8118
Pb 0.0000 0.0000 6.2763
```


No. 15
Computed, not measured: an optimized crystal structure of Re2PtPb at the PBE level of DFT.

## Properties
Energy of formation from the pure elements (meV/atom): 1707.9

Cell and atoms, written as extended XYZ:
```
8
Lattice="-2.9998 2.9998 5.7849 2.9998 -2.9998 5.7849 2.9998 2.9998 -5.7849" Properties=species:S:1:pos:R:3 pbc="T T T"
Re 4.4997 1.2283 -1.4462
Re 1.2283 1.4999 1.4462
Re -1.4999 1.7714 4.3387
Re 1.7714 1.4999 7.2312
Pt 0.0000 0.0000 0.0000
Pt 0.0000 2.9998 2.8925
Pb 2.9998 0.0000 2.8925
Pb 0.0000 0.0000 5.7849
```


No. 16
Computed, not measured: an optimized crystal structure of RePtPb4 at the PBE level of DFT.

## Properties
Energy of formation from the pure elements (meV/atom): 1319.5

Cell and atoms, written as extended XYZ:
```
6
Lattice="0.0000 4.3492 4.3492 4.3492 0.0000 4.3492 4.3492 4.3492 0.0000" Properties=species:S:1:pos:R:3 pbc="T T T"
Re 0.0000 0.0000 0.0000
Pt 2.1746 2.1746 2.1746
Pb 5.4378 3.2605 3.2605
Pb 3.2605 5.4378 3.2605
Pb 3.2605 3.2605 5.4378
Pb 5.4378 5.4378 5.4378
```


No. 17
Computed, not measured: an optimized crystal structure of RePtPb2 at the PBE level of DFT.

## Properties
Distance to the lowest polymorph of the same formula (meV per atom): 459
Energy of formation from the pure elements (meV/atom): 786.4

Cell and atoms, written as extended XYZ:
```
4
Lattice="4.5507 -1.6572 0.0000 4.5507 1.6572 0.0000 -1.1422 0.0000 5.4149" Properties=species:S:1:pos:R:3 pbc="T T T"
Re 0.0000 0.0000 0.0000
Pt 3.9796 0.0000 2.7074
Pb 1.4304 0.0000 4.0955
Pb 6.5287 0.0000 1.3194
```


No. 18
Computed, not measured: an optimized crystal structure of Re2PtPb at the PBE level of DFT.

## Properties
Energy of formation from the pure elements (meV/atom): 778.3

Cell and atoms, written as extended XYZ:
```
4
Lattice="1.4748 0.8515 9.1618 -1.4748 0.8515 9.1618 0.0000 -1.7030 9.1618" Properties=species:S:1:pos:R:3 pbc="T T T"
Re 0.0000 0.0000 6.7218
Re 0.0000 0.0000 20.7634
Pt 0.0000 0.0000 13.7426
Pb 0.0000 0.0000 0.0000
```


No. 19
Computed, not measured: an optimized crystal structure of RePt3Pb at the PBE level of DFT.

## Properties
Distance to the lowest polymorph of the same formula (meV per atom): 0
Energy of formation from the pure elements (meV/atom): 792.9

Cell and atoms, written as extended XYZ:
```
5
Lattice="4.8920 0.0000 0.0000 0.0000 4.8920 0.0000 0.0000 0.0000 4.8920" Properties=species:S:1:pos:R:3 pbc="T T T"
Re 0.0000 0.0000 0.0000
Pt 0.0000 0.0000 2.4460
Pt 0.0000 2.4460 0.0000
Pt 2.4460 0.0000 0.0000
Pb 2.4460 2.4460 2.4460
```


No. 20
Computed, not measured: an optimized crystal structure of Re2PtPb at the PBE level of DFT.

## Properties
Energy of formation from the pure elements (meV/atom): 877.1

Cell and atoms, written as extended XYZ:
```
4
Lattice="0.0000 3.2657 3.2657 3.2657 0.0000 3.2657 3.2657 3.2657 0.0000" Properties=species:S:1:pos:R:3 pbc="T T T"
Re 0.0000 0.0000 0.0000
Re 1.6329 1.6329 1.6329
Pt 3.2657 3.2657 3.2657
Pb 4.8986 4.8986 4.8986
```